--- i ---
An optimized crystal structure of TaTc3. Source: Alexandria, functional PBE.

Geometry as CIF:
```
data_TaTc3
_chemical_formula_sum 'Ta2 Tc6'
_symmetry_space_group_name_H-M 'P 1'
_symmetry_Int_Tables_number 1
_symmetry_space_group_name_Hall 'P 1'
_cell_length_a 4.455
_cell_length_b 5.524
_cell_length_c 5.088
_cell_angle_alpha 90.00
_cell_angle_beta 90.00
_cell_angle_gamma 90.00
loop_
_atom_site_label
_atom_site_type_symbol
_atom_site_fract_x
_atom_site_fract_y
_atom_site_fract_z
Ta1 Ta 0.250 0.250 0.112
Ta2 Ta 0.750 0.750 0.888
Tc1 Tc 0.250 0.521 0.643
Tc2 Tc 0.250 0.750 0.176
Tc3 Tc 0.250 0.979 0.643
Tc4 Tc 0.750 0.021 0.357
Tc5 Tc 0.750 0.250 0.824
Tc6 Tc 0.750 0.479 0.357
```

- SG = No. 59
- DOS at the Fermi energy (states/eV/atom) = 0.78

---

--- ii ---
An optimized crystal structure of TaTc3. Source: Alexandria, functional PBE.

Geometry as CIF:
```
data_TaTc3
_chemical_formula_sum 'Ta1 Tc3'
_symmetry_space_group_name_H-M 'P 1'
_symmetry_Int_Tables_number 1
_symmetry_space_group_name_Hall 'P 1'
_cell_length_a 2.768
_cell_length_b 4.373
_cell_length_c 5.221
_cell_angle_alpha 90.00
_cell_angle_beta 101.60
_cell_angle_gamma 90.00
loop_
_atom_site_label
_atom_site_type_symbol
_atom_site_fract_x
_atom_site_fract_y
_atom_site_fract_z
Ta1 Ta 0.000 0.000 0.000
Tc1 Tc 0.207 0.500 0.749
Tc2 Tc 0.500 0.000 0.500
Tc3 Tc 0.793 0.500 0.251
```

- SG = No. 10
- DOS at the Fermi energy (states/eV/atom) = 1.04

---

Stability comparison, relative energies in kJ/mol of atoms: i 1.3; ii 0.0

---

--- i ---
An optimized crystal structure of TaTc3. Source: Alexandria, functional PBE.

Geometry as CIF:
```
data_TaTc3
_chemical_formula_sum 'Ta1 Tc3'
_symmetry_space_group_name_H-M 'P 1'
_symmetry_Int_Tables_number 1
_symmetry_space_group_name_Hall 'P 1'
_cell_length_a 4.443
_cell_length_b 4.443
_cell_length_c 3.133
_cell_angle_alpha 90.00
_cell_angle_beta 90.00
_cell_angle_gamma 90.00
loop_
_atom_site_label
_atom_site_type_symbol
_atom_site_fract_x
_atom_site_fract_y
_atom_site_fract_z
Ta1 Ta 0.000 0.000 0.000
Tc1 Tc 0.000 0.500 0.500
Tc2 Tc 0.500 0.000 0.500
Tc3 Tc 0.500 0.500 0.000
```

- SG = No. 123
- DOS at the Fermi energy (states/eV/atom) = 1.09

---

--- ii ---
An optimized crystal structure of TaTc3. Source: Alexandria, functional PBE.

Geometry as CIF:
```
data_TaTc3
_chemical_formula_sum 'Ta1 Tc3'
_symmetry_space_group_name_H-M 'P 1'
_symmetry_Int_Tables_number 1
_symmetry_space_group_name_Hall 'P 1'
_cell_length_a 3.958
_cell_length_b 3.958
_cell_length_c 3.958
_cell_angle_alpha 90.00
_cell_angle_beta 90.00
_cell_angle_gamma 90.00
loop_
_atom_site_label
_atom_site_type_symbol
_atom_site_fract_x
_atom_site_fract_y
_atom_site_fract_z
Ta1 Ta 0.000 0.000 0.000
Tc1 Tc 0.000 0.500 0.500
Tc2 Tc 0.500 0.000 0.500
Tc3 Tc 0.500 0.500 0.000
```

- SG = No. 221
- DOS at the Fermi energy (states/eV/atom) = 1.26

---

Stability comparison, relative energies in kJ/mol of atoms: i 0.0; ii 10.7

---

--- i ---
An optimized crystal structure of TaTc3. Source: Alexandria, functional PBE.

Geometry as CIF:
```
data_TaTc3
_chemical_formula_sum 'Ta2 Tc6'
_symmetry_space_group_name_H-M 'P 1'
_symmetry_Int_Tables_number 1
_symmetry_space_group_name_Hall 'P 1'
_cell_length_a 5.016
_cell_length_b 5.016
_cell_length_c 5.016
_cell_angle_alpha 90.00
_cell_angle_beta 90.00
_cell_angle_gamma 90.00
loop_
_atom_site_label
_atom_site_type_symbol
_atom_site_fract_x
_atom_site_fract_y
_atom_site_fract_z
Ta1 Ta 0.000 0.000 0.000
Ta2 Ta 0.500 0.500 0.500
Tc1 Tc 0.000 0.250 0.500
Tc2 Tc 0.000 0.750 0.500
Tc3 Tc 0.250 0.500 0.000
Tc4 Tc 0.500 0.000 0.250
Tc5 Tc 0.500 0.000 0.750
Tc6 Tc 0.750 0.500 0.000
```

- SG = No. 223
- DOS at the Fermi energy (states/eV/atom) = 1.75

---

--- ii ---
An optimized crystal structure of TaTc3. Source: Alexandria, functional PBE.

Geometry as CIF:
```
data_TaTc3
_chemical_formula_sum 'Ta1 Tc3'
_symmetry_space_group_name_H-M 'P 1'
_symmetry_Int_Tables_number 1
_symmetry_space_group_name_Hall 'P 1'
_cell_length_a 9.350
_cell_length_b 9.350
_cell_length_c 9.350
_cell_angle_alpha 17.20
_cell_angle_beta 17.20
_cell_angle_gamma 17.20
loop_
_atom_site_label
_atom_site_type_symbol
_atom_site_fract_x
_atom_site_fract_y
_atom_site_fract_z
Ta1 Ta 0.000 0.000 0.000
Tc1 Tc 0.245 0.245 0.245
Tc2 Tc 0.500 0.500 0.500
Tc3 Tc 0.755 0.755 0.755
```

- SG = No. 166
- DOS at the Fermi energy (states/eV/atom) = 1.13

---

--- iii ---
An optimized crystal structure of TaTc3. Source: Alexandria, functional PBE.

Geometry as CIF:
```
data_TaTc3
_chemical_formula_sum 'Ta4 Tc12'
_symmetry_space_group_name_H-M 'P 1'
_symmetry_Int_Tables_number 1
_symmetry_space_group_name_Hall 'P 1'
_cell_length_a 5.084
_cell_length_b 9.064
_cell_length_c 5.416
_cell_angle_alpha 90.00
_cell_angle_beta 90.00
_cell_angle_gamma 90.00
loop_
_atom_site_label
_atom_site_type_symbol
_atom_site_fract_x
_atom_site_fract_y
_atom_site_fract_z
Ta1 Ta 0.032 0.250 0.122
Ta2 Ta 0.468 0.750 0.622
Ta3 Ta 0.532 0.250 0.378
Ta4 Ta 0.968 0.750 0.878
Tc1 Tc 0.062 0.250 0.624
Tc2 Tc 0.226 0.518 0.384
Tc3 Tc 0.226 0.982 0.384
Tc4 Tc 0.274 0.018 0.884
Tc5 Tc 0.274 0.482 0.884
Tc6 Tc 0.438 0.750 0.124
Tc7 Tc 0.562 0.250 0.876
Tc8 Tc 0.726 0.518 0.116
Tc9 Tc 0.726 0.982 0.116
Tc10 Tc 0.774 0.018 0.616
Tc11 Tc 0.774 0.482 0.616
Tc12 Tc 0.938 0.750 0.376
```

- SG = No. 62
- DOS at the Fermi energy (states/eV/atom) = 1.01

---

Stability comparison, relative energies in kJ/mol of atoms: i 7.1; ii 13.0; iii 0.0

---

--- i ---
An optimized crystal structure of TaTc2. Source: Alexandria, functional PBE.

Geometry as CIF:
```
data_TaTc2
_chemical_formula_sum 'Ta2 Tc4'
_symmetry_space_group_name_H-M 'P 1'
_symmetry_Int_Tables_number 1
_symmetry_space_group_name_Hall 'P 1'
_cell_length_a 5.089
_cell_length_b 5.089
_cell_length_c 5.089
_cell_angle_alpha 108.06
_cell_angle_beta 108.06
_cell_angle_gamma 112.33
loop_
_atom_site_label
_atom_site_type_symbol
_atom_site_fract_x
_atom_site_fract_y
_atom_site_fract_z
Ta1 Ta 0.250 0.250 0.000
Ta2 Ta 0.750 0.750 0.000
Tc1 Tc 0.151 0.651 0.802
Tc2 Tc 0.349 0.151 0.500
Tc3 Tc 0.651 0.849 0.500
Tc4 Tc 0.849 0.349 0.198
```

- SG = No. 140
- DOS at the Fermi energy (states/eV/atom) = 0.98

---

--- ii ---
An optimized crystal structure of TaTc2. Source: Alexandria, functional PBE.

Geometry as CIF:
```
data_TaTc2
_chemical_formula_sum 'Ta4 Tc8'
_symmetry_space_group_name_H-M 'P 1'
_symmetry_Int_Tables_number 1
_symmetry_space_group_name_Hall 'P 1'
_cell_length_a 5.393
_cell_length_b 4.408
_cell_length_c 7.991
_cell_angle_alpha 90.00
_cell_angle_beta 90.00
_cell_angle_gamma 90.00
loop_
_atom_site_label
_atom_site_type_symbol
_atom_site_fract_x
_atom_site_fract_y
_atom_site_fract_z
Ta1 Ta 0.170 0.250 0.088
Ta2 Ta 0.330 0.750 0.588
Ta3 Ta 0.670 0.250 0.412
Ta4 Ta 0.830 0.750 0.912
Tc1 Tc 0.012 0.250 0.752
Tc2 Tc 0.170 0.250 0.431
Tc3 Tc 0.330 0.750 0.931
Tc4 Tc 0.488 0.750 0.252
Tc5 Tc 0.512 0.250 0.748
Tc6 Tc 0.670 0.250 0.069
Tc7 Tc 0.830 0.750 0.569
Tc8 Tc 0.988 0.750 0.248
```

- SG = No. 62
- DOS at the Fermi energy (states/eV/atom) = 0.94

---

Stability comparison, relative energies in kJ/mol of atoms: i 48.9; ii 0.0